Compound: PmHoAl2Zn2
Source: Alexandria via LeMat-Bulk
Functional: PBE-GGA
Structure: relaxed

abc: 4.503 4.503 7.313
angles: 90.00 90.00 120.00
Fractional coordinates of all 6 atoms:
Pm  0.000  0.000  0.000
Ho  0.000  0.000  0.500
Al  0.333  0.667  0.267
Al  0.667  0.333  0.733
Zn  0.333  0.667  0.726
Zn  0.667  0.333  0.274

Values from the calculation:
M_tot ... 0.000 μB/atom
Space group ... P-3m1 (164)
Energy ... -22.071 eV per cell
E_form ... -0.45 eV per atom
Density of states at the Fermi level ... 0.58 states/eV per atom